Entry from Alexandria via LeMat-Bulk: Tm5BTe4 after structural relaxation (PBE).

Cell lengths 7.320, 7.320, 7.320 Å; angles 99.47, 99.47, 132.14 degrees
Sites, in units of the cell vectors:
Tm 0.000 0.000 0.000
Tm 0.279 0.619 0.843
Tm 0.436 0.279 0.660
Tm 0.619 0.777 0.340
Tm 0.777 0.436 0.157
B 0.544 0.544 0.000
Te 0.114 0.337 0.396
Te 0.337 0.941 0.223
Te 0.718 0.114 0.777
Te 0.941 0.718 0.604

Calculated values
Uncorrected formation energy (eV per atom): -1.08

***

Entry from Alexandria via LeMat-Bulk: Fe3HgPd after structural relaxation (PBE).

Cell lengths 4.669, 4.669, 4.669 Å; angles 90.00, 90.00, 90.00 degrees
Sites, in units of the cell vectors:
Fe 0.000 0.000 0.500
Fe 0.000 0.500 0.000
Fe 0.500 0.000 0.000
Hg 0.500 0.500 0.500
Pd 0.000 0.000 0.000

Calculated values
Energy above the most stable polymorph in this dataset (eV/atom): 0.000
Formation enthalpy at 0 K (meV/atom): 1107

***

Entry from Alexandria via LeMat-Bulk: BaAcCd2Pb2 after structural relaxation (PBE).

Cell lengths 5.140, 5.140, 9.001 Å; angles 90.00, 90.00, 120.00 degrees
Sites, in units of the cell vectors:
Ba 0.000 0.000 0.000
Ac 0.000 0.000 0.500
Cd 0.333 0.667 0.696
Cd 0.667 0.333 0.304
Pb 0.333 0.667 0.247
Pb 0.667 0.333 0.753

Calculated values
Formation enthalpy at 0 K (meV/atom): -433

***

Entry from Alexandria via LeMat-Bulk: DyTm7Sc4 after structural relaxation (PBE).

Cell lengths 5.971, 6.883, 8.463 Å; angles 90.01, 103.63, 90.03 degrees
Sites, in units of the cell vectors:
Dy 0.000 0.000 0.000
Tm 0.000 0.500 0.000
Tm 0.223 0.000 0.663
Tm 0.283 0.255 0.339
Tm 0.498 0.746 0.004
Tm 0.502 0.254 0.996
Tm 0.717 0.745 0.661
Tm 0.777 0.000 0.337
Sc 0.217 0.500 0.660
Sc 0.277 0.746 0.338
Sc 0.723 0.254 0.662
Sc 0.783 0.500 0.340

Calculated values
Energy above the most stable polymorph in this dataset (eV/atom): 0.000
Formation enthalpy at 0 K (meV/atom): 18

***

Entry from Alexandria via LeMat-Bulk: FeRe2H after structural relaxation (PBE).

Cell lengths 4.026, 4.026, 4.026 Å; angles 60.00, 60.00, 60.00 degrees
Sites, in units of the cell vectors:
Fe 0.000 0.000 0.000
Re 0.250 0.250 0.250
Re 0.750 0.750 0.750
H 0.500 0.500 0.500

Calculated values
Energy above the most stable polymorph in this dataset (eV/atom): 0.262

***

Entry from Alexandria via LeMat-Bulk: Ta2SnPb after structural relaxation (PBE).

Cell lengths 7.763, 7.763, 7.763 Å; angles 131.39, 131.39, 71.19 degrees
Sites, in units of the cell vectors:
Ta 0.118 0.625 0.993
Ta 0.375 0.368 0.493
Ta 0.632 0.125 0.007
Ta 0.875 0.882 0.507
Sn 0.000 0.000 0.000
Sn 0.750 0.250 0.500
Pb 0.250 0.750 0.500
Pb 0.500 0.500 0.000

Calculated values
Energy above the most stable polymorph in this dataset (eV/atom): 1.170
Formation enthalpy at 0 K (meV/atom): 1736